No. 1
A relaxed HoInSeO2 crystal, computed with PBE-GGA.

The value obtained for the uncorrected formation energy is -2.12 eV/atom.

Cell and atoms, written as CIF:
```
data_HoInSeO2
_chemical_formula_sum 'Ho2 In2 Se2 O4'
_cell_length_a 6.729
_cell_length_b 4.101
_cell_length_c 7.498
_cell_angle_alpha 90.00
_cell_angle_beta 115.51
_cell_angle_gamma 90.00
_symmetry_space_group_name_H-M 'P 1 21/m 1'
_symmetry_Int_Tables_number 11
_symmetry_space_group_name_Hall '-P 2yb'
loop_
_atom_site_label
_atom_site_type_symbol
_atom_site_fract_x
_atom_site_fract_y
_atom_site_fract_z
_atom_site_occupancy
Ho1 Ho 0.174 0.250 0.439 1
In1 In 0.170 0.250 0.948 1
Se1 Se 0.479 0.750 0.725 1
O1 O 0.011 0.750 0.373 1
O2 O 0.041 0.750 0.890 1
```

No. 2
A relaxed KLiP2O6 crystal, computed with PBE-GGA.

The value obtained for the uncorrected formation energy is -2.22 eV/atom. For the energy above the most stable polymorph in this dataset, the calculation gives 0.0675 eV/atom. As for the density of states at the Fermi level: 0.00 states/eV per cell.

Cell and atoms, written as CIF:
```
data_KLiP2O6
_chemical_formula_sum 'K4 Li4 P8 O24'
_cell_length_a 10.120
_cell_length_b 11.333
_cell_length_c 4.886
_cell_angle_alpha 90.00
_cell_angle_beta 103.02
_cell_angle_gamma 90.00
_symmetry_space_group_name_H-M 'C 1 2/c 1'
_symmetry_Int_Tables_number 15
_symmetry_space_group_name_Hall '-C 2yc'
loop_
_atom_site_label
_atom_site_type_symbol
_atom_site_fract_x
_atom_site_fract_y
_atom_site_fract_z
_atom_site_occupancy
K1 K 0.000 0.115 0.250 1
Li1 Li 0.000 0.244 0.750 1
P1 P 0.204 0.419 0.165 1
O1 O 0.110 0.319 0.069 1
O2 O 0.144 0.100 0.776 1
O3 O 0.165 0.471 0.448 1
```

No. 3
A relaxed LiCd2Cl crystal, computed with PBE-GGA.

The value obtained for the uncorrected formation energy is -0.68 eV/atom. For the energy above the most stable polymorph in this dataset, the calculation gives 0.0000 eV/atom. As for the density of states at the Fermi level: 1.22 states/eV per cell.

Cell and atoms, written as CIF:
```
data_LiCd2Cl
_chemical_formula_sum 'Li1 Cd2 Cl1'
_cell_length_a 3.336
_cell_length_b 3.350
_cell_length_c 9.500
_cell_angle_alpha 90.00
_cell_angle_beta 96.60
_cell_angle_gamma 90.00
_symmetry_space_group_name_H-M 'P 1 m 1'
_symmetry_Int_Tables_number 6
_symmetry_space_group_name_Hall 'P -2y'
loop_
_atom_site_label
_atom_site_type_symbol
_atom_site_fract_x
_atom_site_fract_y
_atom_site_fract_z
_atom_site_occupancy
Li1 Li 0.000 0.000 0.000 1
Cd1 Cd 0.255 0.000 0.625 1
Cd2 Cd 0.673 0.500 0.394 1
Cl1 Cl 0.504 0.500 0.013 1
```

No. 4
A relaxed Pr2TaFe2N6 crystal, computed with PBE-GGA.

The value obtained for the uncorrected formation energy is -0.57 eV/atom. As for the density of states at the Fermi level: 11.71 states/eV per cell.

Cell and atoms, written as CIF:
```
data_Pr2TaFe2N6
_chemical_formula_sum 'Pr6 Ta3 Fe6 N18'
_cell_length_a 5.7198
_cell_length_b 5.7198
_cell_length_c 15.8291
_cell_angle_alpha 90.00
_cell_angle_beta 90.00
_cell_angle_gamma 120.00
_symmetry_space_group_name_H-M 'R -3 m'
_symmetry_Int_Tables_number 166
_symmetry_space_group_name_Hall '-R 3 2"'
loop_
_atom_site_label
_atom_site_type_symbol
_atom_site_fract_x
_atom_site_fract_y
_atom_site_fract_z
_atom_site_occupancy
Pr1 Pr 0.0000 0.0000 0.2191 1
Ta1 Ta 0.0000 0.0000 0.0000 1
Fe1 Fe 0.0000 0.0000 0.4339 1
N1 N 0.0130 0.5065 0.7501 1
```

No. 5
A relaxed ScTc2Ni crystal, computed with PBE-GGA.

For the energy above the most stable polymorph in this dataset, the calculation gives 0.1065 eV/atom. As for the density of states at the Fermi level: 6.38 states/eV per cell. The formation energy is -1.60 kJ per mole of atoms.

Cell and atoms, written as CIF:
```
data_ScTc2Ni
_chemical_formula_sum 'Sc2 Tc4 Ni2'
_cell_length_a 10.338
_cell_length_b 2.786
_cell_length_c 4.418
_cell_angle_alpha 90.00
_cell_angle_beta 107.01
_cell_angle_gamma 90.00
_symmetry_space_group_name_H-M 'C 1 2/m 1'
_symmetry_Int_Tables_number 12
_symmetry_space_group_name_Hall '-C 2y'
loop_
_atom_site_label
_atom_site_type_symbol
_atom_site_fract_x
_atom_site_fract_y
_atom_site_fract_z
_atom_site_occupancy
Sc1 Sc 0.000 0.000 0.000 1
Tc1 Tc 0.216 0.000 0.717 1
Ni1 Ni 0.000 0.500 0.500 1
```

No. 6
A relaxed CaAc8Co2 crystal, computed with PBE-GGA.

As for the density of states at the Fermi level: 28.00 states/eV per cell. The formation energy is 4.73 kJ per mole of atoms.

Cell and atoms, written as CIF:
```
data_CaAc8Co2
_chemical_formula_sum 'Ca2 Ac16 Co4'
_cell_length_a 16.650
_cell_length_b 7.589
_cell_length_c 6.803
_cell_angle_alpha 90.00
_cell_angle_beta 96.29
_cell_angle_gamma 90.00
_symmetry_space_group_name_H-M 'C 1 2/m 1'
_symmetry_Int_Tables_number 12
_symmetry_space_group_name_Hall '-C 2y'
loop_
_atom_site_label
_atom_site_type_symbol
_atom_site_fract_x
_atom_site_fract_y
_atom_site_fract_z
_atom_site_occupancy
Ca1 Ca 0.000 0.000 0.000 1
Ac1 Ac 0.080 0.500 0.830 1
Ac2 Ac 0.139 0.246 0.398 1
Ac3 Ac 0.213 0.000 0.908 1
Co1 Co 0.229 0.500 0.658 1
```

Values for E, Ry/atom, ordered as above
-0.4605; -0.4833; -0.1529; -0.6316; -0.6047; -0.3243
Values for calculated volume, Å³ per cell, ordered as above
186.7; 546.0; 105.5; 448.5; 121.7; 854.4